16
Lattice="6.602 0.000 0.000 0.000 6.602 0.000 0.000 0.000 6.602" Properties=species:S:1:pos:R:3 comment="ScInFeAg, optimized geometry, DFT GGA-PBE" total_magnetization_mub_per_fu=1.743 crystal_system=cubic e_above_lowest_polymorph_mev_per_atom=0 pbc="T T T"
Sc 0.000 0.000 0.000
Sc 0.000 3.301 3.301
Sc 3.301 0.000 3.301
Sc 3.301 3.301 0.000
In 0.000 0.000 3.301
In 0.000 3.301 0.000
In 3.301 0.000 0.000
In 3.301 3.301 3.301
Fe 1.650 1.650 4.951
Fe 1.650 4.951 1.650
Fe 4.951 1.650 1.650
Fe 4.951 4.951 4.951
Ag 1.650 1.650 1.650
Ag 1.650 4.951 4.951
Ag 4.951 1.650 4.951
Ag 4.951 4.951 1.650